# AgIr2Cl, relaxed, DFT PBE-GGA
data_AgIr2Cl
_cell_length_a 2.890
_cell_length_b 2.890
_cell_length_c 8.101
_cell_angle_alpha 90.00
_cell_angle_beta 90.00
_cell_angle_gamma 90.00
_symmetry_space_group_name_H-M 'P 1'
_symmetry_Int_Tables_number 1
_symmetry_space_group_name_Hall 'P 1'
loop_
_atom_site_label
_atom_site_type_symbol
_atom_site_fract_x
_atom_site_fract_y
_atom_site_fract_z
Ir1 Ir 0.000 0.000 0.018
Ir2 Ir 0.500 0.500 0.223
Ag1 Ag 0.000 0.000 0.478
Cl1 Cl 0.500 0.500 0.780
# excess energy over the best structure of this formula in the dataset = 0.48 eV per formula unit
# volume = 16.91 Å³ per atom
# E_form (uncorrected) = 0.430 eV per atom
# space-group type = No. 99



# Ag2IrCl, relaxed, DFT PBE-GGA
data_Ag2IrCl
_cell_length_a 6.933
_cell_length_b 6.933
_cell_length_c 6.933
_cell_angle_alpha 156.30
_cell_angle_beta 145.12
_cell_angle_gamma 42.61
_symmetry_space_group_name_H-M 'P 1'
_symmetry_Int_Tables_number 1
_symmetry_space_group_name_Hall 'P 1'
loop_
_atom_site_label
_atom_site_type_symbol
_atom_site_fract_x
_atom_site_fract_y
_atom_site_fract_z
Ir1 Ir 0.250 0.750 0.500
Ag1 Ag 0.057 0.057 0.000
Ag2 Ag 0.443 0.443 0.000
Cl1 Cl 0.750 0.250 0.500
# excess energy over the best structure of this formula in the dataset = 0.83 eV per formula unit
# volume = 19.11 Å³ per atom
# E_form (uncorrected) = 0.520 eV per atom
# space-group type = No. 71



# Ag2IrCl, relaxed, DFT PBE-GGA
data_Ag2IrCl
_cell_length_a 2.940
_cell_length_b 3.893
_cell_length_c 6.291
_cell_angle_alpha 90.00
_cell_angle_beta 90.00
_cell_angle_gamma 90.00
_symmetry_space_group_name_H-M 'P 1'
_symmetry_Int_Tables_number 1
_symmetry_space_group_name_Hall 'P 1'
loop_
_atom_site_label
_atom_site_type_symbol
_atom_site_fract_x
_atom_site_fract_y
_atom_site_fract_z
Ir1 Ir 0.500 0.500 0.775
Ag1 Ag 0.000 0.000 0.983
Ag2 Ag 0.500 0.500 0.239
Cl1 Cl 0.000 0.000 0.503
# excess energy over the best structure of this formula in the dataset = 1.13 eV per formula unit
# volume = 18.00 Å³ per atom
# E_form (uncorrected) = 0.595 eV per atom
# space-group type = No. 25



# Ag2IrCl, relaxed, DFT PBE-GGA
data_Ag2IrCl
_cell_length_a 2.949
_cell_length_b 2.933
_cell_length_c 8.518
_cell_angle_alpha 89.36
_cell_angle_beta 90.00
_cell_angle_gamma 90.00
_symmetry_space_group_name_H-M 'P 1'
_symmetry_Int_Tables_number 1
_symmetry_space_group_name_Hall 'P 1'
loop_
_atom_site_label
_atom_site_type_symbol
_atom_site_fract_x
_atom_site_fract_y
_atom_site_fract_z
Ir1 Ir 0.500 0.504 0.753
Ag1 Ag 0.000 0.996 0.985
Ag2 Ag 0.500 0.488 0.225
Cl1 Cl 0.000 0.511 0.538
# excess energy over the best structure of this formula in the dataset = 0.26 eV per formula unit
# volume = 18.42 Å³ per atom
# E_form (uncorrected) = 0.378 eV per atom
# space-group type = No. 6



# Ag2IrCl, relaxed, DFT PBE-GGA
data_Ag2IrCl
_cell_length_a 2.971
_cell_length_b 2.971
_cell_length_c 9.394
_cell_angle_alpha 90.00
_cell_angle_beta 90.00
_cell_angle_gamma 121.96
_symmetry_space_group_name_H-M 'P 1'
_symmetry_Int_Tables_number 1
_symmetry_space_group_name_Hall 'P 1'
loop_
_atom_site_label
_atom_site_type_symbol
_atom_site_fract_x
_atom_site_fract_y
_atom_site_fract_z
Ir1 Ir 0.500 0.500 0.736
Ag1 Ag 0.000 0.000 0.987
Ag2 Ag 0.500 0.500 0.248
Cl1 Cl 0.000 0.000 0.528
# excess energy over the best structure of this formula in the dataset = 0.38 eV per formula unit
# volume = 17.59 Å³ per atom
# E_form (uncorrected) = 0.409 eV per atom
# space-group type = No. 35



# AgIr2Cl, relaxed, DFT PBE-GGA
data_AgIr2Cl
_cell_length_a 4.759
_cell_length_b 4.759
_cell_length_c 2.841
_cell_angle_alpha 90.00
_cell_angle_beta 90.00
_cell_angle_gamma 90.00
_symmetry_space_group_name_H-M 'P 1'
_symmetry_Int_Tables_number 1
_symmetry_space_group_name_Hall 'P 1'
loop_
_atom_site_label
_atom_site_type_symbol
_atom_site_fract_x
_atom_site_fract_y
_atom_site_fract_z
Ir1 Ir 0.000 0.000 0.000
Ir2 Ir 0.500 0.500 0.000
Ag1 Ag 0.500 0.000 0.500
Cl1 Cl 0.000 0.500 0.500
# excess energy over the best structure of this formula in the dataset = 3.45 eV per formula unit
# volume = 16.09 Å³ per atom
# E_form (uncorrected) = 1.172 eV per atom
# space-group type = No. 123